*1*
First-principles (PBE) data for a relaxed structure of Dy2AgBr, as listed in the Alexandria database.

abc: 10.8538 10.8538 10.8538
angles: 18.21 18.21 18.21
With the nearest neighbours (Å) after each atom.
Positions (direct):
Dy 0.0918 0.0918 0.0918  1 Ag 2.94, 3 Br 3.11
Dy 0.9082 0.9082 0.9082  1 Ag 2.94, 3 Br 3.11
Ag 0.0000 0.0000 0.0000  2 Dy 2.94
Br 0.5000 0.5000 0.5000  6 Dy 3.11, 6 Br 3.44

Computed properties:
**Theoretical density**: 7.81 Mg/m³
**Total magnetic moment**: 0.0 μB/f.u.
**SG**: R-3m (166)

*2*
First-principles (PBE) data for a relaxed structure of Dy2AgBr, as listed in the Alexandria database.

abc: 8.7034 8.7034 8.7034
angles: 25.29 25.29 25.29
With the nearest neighbours (Å) after each atom.
Positions (direct):
Dy 0.0000 0.0000 0.0000  3 Ag 2.98, 3 Br 3.13
Dy 0.1760 0.1760 0.1760  3 Ag 2.95, 3 Br 3.12
Ag 0.5871 0.5871 0.5871  6 Dy 2.95-2.98
Br 0.7550 0.7550 0.7550  6 Dy 3.12-3.13

Computed properties:
**Theoretical density**: 8.04 Mg/m³
**Total magnetic moment**: 0.8 μB/f.u.
**SG**: R3m (160)

Relative energies, meV/atom: *1* 348; *2* 0.